[1]
Material: ScCd
Method: DFT, PBEsol
State: optimized geometry

It has space group I4_1/amd (No. 141, origin choice 2), with a = 4.288 Å, b = 4.288 Å, c = 9.159 Å, α = 90.00°, β = 90.00° and γ = 90.00°. The distinct sites, in fractional coordinates, are Sc at (0.000, 0.250, 0.375) and Cd at (0.000, 0.250, 0.875).

As for the final energy: -32.61 eV/cell. Its density of states at the Fermi level is 1.064 states/eV/atom. The formation energy comes out at -0.18 eV/atom.


[2]
Material: Ir2RuAu
Method: DFT, PBEsol
State: optimized geometry

It has space group C2/m (No. 12), with a = 9.082 Å, b = 2.747 Å, c = 4.717 Å, α = 90.00°, β = 100.04° and γ = 90.00°. The distinct sites, in fractional coordinates, are Ir at (0.244, 0.000, 0.239), Ru at (0.000, 0.500, 0.000) and Au at (0.000, 0.000, 0.500).

As for the final energy: -65.56 eV/cell. Its density of states at the Fermi level is 1.051 states/eV/atom. The formation energy comes out at 0.24 eV/atom.


[3]
Material: BeRhBr2
Method: DFT, PBEsol
State: optimized geometry

It has space group R-3m (No. 166, hexagonal axes), with a = 3.2916 Å, b = 3.2916 Å, c = 20.9714 Å, α = 90.00°, β = 90.00° and γ = 120.00°. The distinct sites, in fractional coordinates, are Be at (0.0000, 0.0000, 0.0000), Rh at (0.0000, 0.0000, 0.5000) and Br at (0.0000, 0.0000, 0.2646).

As for the final energy: -44.23 eV/cell. Its density of states at the Fermi level is 0.817 states/eV/atom. The formation energy without anion corrections is 1.14 eV/f.u.


[4]
Material: TiW2CO
Method: DFT, PBEsol
State: optimized geometry

It has space group P4/mmm (No. 123), with a = 3.978 Å, b = 3.978 Å, c = 3.893 Å, α = 90.00°, β = 90.00° and γ = 90.00°. The distinct sites, in fractional coordinates, are Ti at (0.000, 0.000, 0.000), W at (0.000, 0.500, 0.500), C at (0.500, 0.500, 0.000) and O at (0.000, 0.000, 0.500).

As for the final energy: -47.60 eV/cell. Its density of states at the Fermi level is 0.409 states/eV/atom. The formation energy without anion corrections is 3.24 eV/f.u.


[5]
Material: BeFe2Co
Method: DFT, PBEsol
State: optimized geometry

It has space group P4mm (No. 99), with a = 2.741 Å, b = 2.741 Å, c = 5.267 Å, α = 90.00°, β = 90.00° and γ = 90.00°. The distinct sites, in fractional coordinates, are Be at (0.000, 0.000, 0.000), Fe at (0.000, 0.000, 0.491), Fe at (0.500, 0.500, 0.762) and Co at (0.500, 0.500, 0.224).

As for the final energy: -29.92 eV/cell. Its density of states at the Fermi level is 1.103 states/eV/atom. The formation energy comes out at -0.06 eV/atom.


[6]
Material: SrVN2
Method: DFT, PBEsol
State: optimized geometry

It has space group P2_1/c (No. 14), with a = 6.281 Å, b = 7.304 Å, c = 5.577 Å, α = 90.00°, β = 114.33° and γ = 90.00°. The distinct sites, in fractional coordinates, are Sr at (0.157, 0.073, 0.321), V at (0.377, 0.644, 0.432), N at (0.228, 0.739, 0.105) and N at (0.291, 0.098, 0.913).

As for the final energy: -133.26 eV/cell. Its density of states at the Fermi level is 0.327 states/eV/atom. The formation energy without anion corrections is -4.79 eV/f.u.


[7]
Material: RbZrRh2I
Method: DFT, PBEsol
State: optimized geometry

It has space group P4/mmm (No. 123), with a = 4.735 Å, b = 4.735 Å, c = 7.475 Å, α = 90.00°, β = 90.00° and γ = 90.00°. The distinct sites, in fractional coordinates, are Rb at (0.000, 0.000, 0.000), Zr at (0.000, 0.000, 0.500), Rh at (0.000, 0.500, 0.500) and I at (0.500, 0.500, 0.000).

As for the final energy: -24.96 eV/cell. Its density of states at the Fermi level is 0.442 states/eV/atom. The formation energy without anion corrections is 3.20 eV/f.u.


[8]
Material: CdBr3
Method: DFT, PBEsol
State: optimized geometry

It has space group R-3m (No. 166, hexagonal axes), with a = 8.5782 Å, b = 8.5782 Å, c = 5.1567 Å, α = 90.00°, β = 90.00° and γ = 120.00°. The distinct sites, in fractional coordinates, are Cd at (0.0000, 0.0000, 0.0000) and Br at (0.0000, 0.5000, 0.0000).

As for the final energy: -20.86 eV/cell. Its density of states at the Fermi level is 0.766 states/eV/atom. The formation energy without anion corrections is -0.15 eV/f.u.


[9]
Material: CoAg2W
Method: DFT, PBEsol
State: optimized geometry

It has space group Fm-3m (No. 225), with a = 6.162 Å, b = 6.162 Å, c = 6.162 Å, α = 90.00°, β = 90.00° and γ = 90.00°. The distinct sites, in fractional coordinates, are Co at (0.000, 0.000, 0.000), Ag at (0.250, 0.250, 0.250) and W at (0.000, 0.000, 0.500).

As for the final energy: -98.23 eV/cell. Its density of states at the Fermi level is 1.039 states/eV/atom. The formation energy comes out at 0.90 eV/atom.


[10]
Material: MgCu2Te
Method: DFT, PBEsol
State: optimized geometry

It has space group I4/mmm (No. 139), with a = 4.022 Å, b = 4.022 Å, c = 8.306 Å, α = 90.00°, β = 90.00° and γ = 90.00°. The distinct sites, in fractional coordinates, are Mg at (0.000, 0.000, 0.000), Cu at (0.000, 0.500, 0.250) and Te at (0.000, 0.000, 0.500).

As for the final energy: -27.17 eV/cell. Its density of states at the Fermi level is 0.291 states/eV/atom. The formation energy without anion corrections is 0.32 eV/f.u.


[11]
Material: TbTmIn2
Method: DFT, PBEsol
State: optimized geometry

It has space group Fm-3m (No. 225), with a = 7.356 Å, b = 7.356 Å, c = 7.356 Å, α = 90.00°, β = 90.00° and γ = 90.00°. The distinct sites, in fractional coordinates, are Tb at (0.000, 0.000, 0.000), Tm at (0.000, 0.000, 0.500) and In at (0.250, 0.250, 0.250).

As for the final energy: -71.56 eV/cell. Its density of states at the Fermi level is 0.516 states/eV/atom. The formation energy comes out at -0.50 eV/atom.


[12]
Material: GaP2SBr
Method: DFT, PBEsol
State: optimized geometry

It has space group P4/mmm (No. 123), with a = 4.750 Å, b = 4.750 Å, c = 4.757 Å, α = 90.00°, β = 90.00° and γ = 90.00°. The distinct sites, in fractional coordinates, are Ga at (0.000, 0.000, 0.000), P at (0.000, 0.500, 0.000), S at (0.500, 0.500, 0.500) and Br at (0.000, 0.000, 0.500).

As for the final energy: -16.40 eV/cell. Its density of states at the Fermi level is 0.947 states/eV/atom. The formation energy without anion corrections is 4.78 eV/f.u.


[13]
Material: YSiCl2
Method: DFT, PBEsol
State: optimized geometry

It has space group Imm2 (No. 44), with a = 3.432 Å, b = 4.481 Å, c = 10.629 Å, α = 90.00°, β = 90.00° and γ = 90.00°. The distinct sites, in fractional coordinates, are Y at (0.000, 0.000, 0.000), Si at (0.000, 0.500, 0.248), Cl at (0.000, 0.000, 0.459) and Cl at (0.000, 0.500, 0.696).

As for the final energy: -39.87 eV/cell. Its density of states at the Fermi level is 0.423 states/eV/atom. The formation energy without anion corrections is -3.35 eV/f.u.


[14]
Material: LiCrCu
Method: DFT, PBEsol
State: optimized geometry

It has space group I4mm (No. 107), with a = 3.040 Å, b = 3.040 Å, c = 8.520 Å, α = 90.00°, β = 90.00° and γ = 90.00°. The distinct sites, in fractional coordinates, are Li at (0.000, 0.000, 0.000), Cr at (0.000, 0.000, 0.314) and Cu at (0.000, 0.000, 0.656).

As for the final energy: -29.94 eV/cell. Its density of states at the Fermi level is 0.957 states/eV/atom. The formation energy comes out at 0.52 eV/atom.


[15]
Material: Ca2Mg3Zn4
Method: DFT, PBEsol
State: optimized geometry

It has space group C2/m (No. 12), with a = 16.173 Å, b = 4.258 Å, c = 5.789 Å, α = 90.00°, β = 101.19° and γ = 90.00°. The distinct sites, in fractional coordinates, are Ca at (0.165, 0.000, 0.071), Mg at (0.000, 0.500, 0.000), Mg at (0.106, 0.500, 0.556), Zn at (0.005, 0.000, 0.292) and Zn at (0.233, 0.000, 0.607).

As for the final energy: -33.80 eV/cell. Its density of states at the Fermi level is 0.487 states/eV/atom. The formation energy comes out at -0.13 eV/atom.


[16]
Material: Sr5Mg
Method: DFT, PBEsol
State: optimized geometry

It has space group F-43m (No. 216), with a = 10.589 Å, b = 10.589 Å, c = 10.589 Å, α = 90.00°, β = 90.00° and γ = 90.00°. The distinct sites, in fractional coordinates, are Sr at (0.000, 0.000, 0.000), Sr at (0.125, 0.125, 0.625) and Mg at (0.250, 0.250, 0.250).

As for the final energy: -37.83 eV/cell. Its density of states at the Fermi level is 1.124 states/eV/atom. The formation energy comes out at 0.24 eV/atom.


[17]
Material: Li5BiO4
Method: DFT, PBEsol
State: optimized geometry

It has space group P4_2/nmc (No. 137, origin choice 2), with a = 13.370 Å, b = 13.370 Å, c = 4.813 Å, α = 90.00°, β = 90.00° and γ = 90.00°. The distinct sites, in fractional coordinates, are Li at (0.012, 0.512, 0.250), Li at (0.104, 0.140, 0.159), Li at (0.120, 0.620, 0.750), Li at (0.250, 0.250, 0.119), Li at (0.250, 0.750, 0.250), Li at (0.250, 0.750, 0.750), Bi at (0.026, 0.750, 0.321), O at (0.015, 0.110, 0.458), O at (0.129, 0.250, 0.881) and O at (0.131, 0.750, 0.959).

As for the final energy: -415.89 eV/cell. Its density of states at the Fermi level is 0.000 states/eV/atom. The formation energy without anion corrections is -16.87 eV/f.u.


[18]
Material: Ba2CaAl
Method: DFT, PBEsol
State: optimized geometry

It has space group Imm2 (No. 44), with a = 4.035 Å, b = 6.174 Å, c = 13.069 Å, α = 90.00°, β = 90.00° and γ = 90.00°. The distinct sites, in fractional coordinates, are Ba at (0.000, 0.000, 0.000), Ba at (0.000, 0.500, 0.194), Ca at (0.000, 0.500, 0.799) and Al at (0.000, 0.000, 0.481).

As for the final energy: -21.28 eV/cell. Its density of states at the Fermi level is 0.878 states/eV/atom. The formation energy comes out at -0.03 eV/atom.


[19]
Material: CaBiSbN2
Method: DFT, PBEsol
State: optimized geometry

It has space group P4/mmm (No. 123), with a = 4.268 Å, b = 4.268 Å, c = 6.019 Å, α = 90.00°, β = 90.00° and γ = 90.00°. The distinct sites, in fractional coordinates, are Ca at (0.000, 0.000, 0.000), Bi at (0.500, 0.500, 0.000), Sb at (0.000, 0.000, 0.500) and N at (0.000, 0.500, 0.500).

As for the final energy: -22.48 eV/cell. Its density of states at the Fermi level is 0.749 states/eV/atom. The formation energy without anion corrections is 5.55 eV/f.u.


[20]
Material: WSe2
Method: DFT, PBEsol
State: optimized geometry

It has space group P-6m2 (No. 187), with a = 3.2703 Å, b = 3.2703 Å, c = 20.4690 Å, α = 90.00°, β = 90.00° and γ = 120.00°. The distinct sites, in fractional coordinates, are W at (0.0000, 0.0000, 0.0000), W at (0.6667, 0.3333, 0.3198), Se at (0.0000, 0.0000, 0.2378), Se at (0.0000, 0.0000, 0.4017) and Se at (0.6667, 0.3333, 0.0819).

As for the final energy: -69.78 eV/cell. The formation energy without anion corrections is -1.75 eV/f.u.


[21]
Material: SbMoIr2
Method: DFT, PBEsol
State: optimized geometry

It has space group I4/mmm (No. 139), with a = 3.976 Å, b = 3.976 Å, c = 7.916 Å, α = 90.00°, β = 90.00° and γ = 90.00°. The distinct sites, in fractional coordinates, are Sb at (0.000, 0.000, 0.000), Mo at (0.000, 0.000, 0.500) and Ir at (0.000, 0.500, 0.250).

As for the final energy: -71.26 eV/cell. Its density of states at the Fermi level is 1.011 states/eV/atom. The formation energy without anion corrections is 0.34 eV/f.u.


[22]
Material: SiIr2Pb
Method: DFT, PBEsol
State: optimized geometry

It has space group P4/mmm (No. 123), with a = 4.642 Å, b = 4.642 Å, c = 2.984 Å, α = 90.00°, β = 90.00° and γ = 90.00°. The distinct sites, in fractional coordinates, are Si at (0.000, 0.000, 0.000), Ir at (0.000, 0.500, 0.500) and Pb at (0.500, 0.500, 0.000).

As for the final energy: -27.83 eV/cell. Its density of states at the Fermi level is 0.681 states/eV/atom. The formation energy without anion corrections is 1.56 eV/f.u.


[23]
Material: MoPt2W
Method: DFT, PBEsol
State: optimized geometry

It has space group Pmm2 (No. 25), with a = 2.724 Å, b = 4.460 Å, c = 4.918 Å, α = 90.00°, β = 90.00° and γ = 90.00°. The distinct sites, in fractional coordinates, are Mo at (0.000, 0.000, 0.000), Pt at (0.500, 0.000, 0.502), Pt at (0.500, 0.500, 0.829) and W at (0.000, 0.500, 0.328).

As for the final energy: -40.77 eV/cell. Its density of states at the Fermi level is 0.719 states/eV/atom. The formation energy comes out at -0.32 eV/atom.


[24]
Material: Ba3CdRh
Method: DFT, PBEsol
State: optimized geometry

It has space group Pm-3m (No. 221), with a = 5.880 Å, b = 5.880 Å, c = 5.880 Å, α = 90.00°, β = 90.00° and γ = 90.00°. The distinct sites, in fractional coordinates, are Ba at (0.000, 0.000, 0.500), Cd at (0.500, 0.500, 0.500) and Rh at (0.000, 0.000, 0.000).

As for the final energy: -16.21 eV/cell. Its density of states at the Fermi level is 0.949 states/eV/atom. The formation energy comes out at -0.08 eV/atom.